1.
! BeHgSbIr | the Open Quantum Materials Database | PBE-GGA | optimized geometry; values from VASP
&SYSTEM
  ibrav = 0, nat = 16, ntyp = 4
/
ATOMIC_SPECIES
Be 9.01 Be.upf
Hg 200.59 Hg.upf
Sb 121.76 Sb.upf
Ir 192.22 Ir.upf
ATOMIC_POSITIONS crystal
Be 0.000 0.000 0.000
Be 0.000 0.500 0.500
Be 0.500 0.000 0.500
Be 0.500 0.500 0.000
Hg 0.250 0.250 0.250
Hg 0.250 0.750 0.750
Hg 0.750 0.250 0.750
Hg 0.750 0.750 0.250
Sb 0.000 0.000 0.500
Sb 0.000 0.500 0.000
Sb 0.500 0.000 0.000
Sb 0.500 0.500 0.500
Ir 0.250 0.250 0.750
Ir 0.250 0.750 0.250
Ir 0.750 0.250 0.250
Ir 0.750 0.750 0.750
CELL_PARAMETERS angstrom
6.562 0.000 0.000
0.000 6.562 0.000
0.000 0.000 6.562
! - Magnetic moment: 0.00 μB/atom
! - Offset from the most stable computed form: 0.0 meV per atom



2.
! Tb2YTl3AgIr2 | the Open Quantum Materials Database | PBE-GGA | optimized geometry; values from VASP
&SYSTEM
  ibrav = 0, nat = 9, ntyp = 5
/
ATOMIC_SPECIES
Tb 158.93 Tb.upf
Y 88.91 Y.upf
Tl 204.38 Tl.upf
Ag 107.87 Ag.upf
Ir 192.22 Ir.upf
ATOMIC_POSITIONS crystal
Tb 0.000 0.206 0.794
Tb 0.000 0.794 0.206
Y 0.000 0.616 0.616
Tl 0.500 0.207 0.477
Tl 0.500 0.477 0.207
Tl 0.500 0.933 0.933
Ag 0.000 0.205 0.205
Ir 0.500 0.539 0.874
Ir 0.500 0.874 0.539
CELL_PARAMETERS angstrom
3.812 0.000 0.000
0.000 6.806 3.924
0.000 -6.806 3.924
! - Magnetic moment: 0.00 μB/atom



3.
! HfAl2Ga | the Open Quantum Materials Database | PBE-GGA | optimized geometry; values from VASP
&SYSTEM
  ibrav = 0, nat = 16, ntyp = 3
/
ATOMIC_SPECIES
Hf 178.49 Hf.upf
Al 26.98 Al.upf
Ga 69.72 Ga.upf
ATOMIC_POSITIONS crystal
Hf 0.000 0.000 0.000
Hf 0.000 0.500 0.500
Hf 0.500 0.000 0.500
Hf 0.500 0.500 0.000
Al 0.000 0.000 0.500
Al 0.000 0.500 0.000
Al 0.250 0.250 0.250
Al 0.250 0.750 0.750
Al 0.500 0.000 0.000
Al 0.500 0.500 0.500
Al 0.750 0.250 0.750
Al 0.750 0.750 0.250
Ga 0.250 0.250 0.750
Ga 0.250 0.750 0.250
Ga 0.750 0.250 0.250
Ga 0.750 0.750 0.750
CELL_PARAMETERS angstrom
6.609 0.000 0.000
0.000 6.609 0.000
0.000 0.000 6.609
! - Magnetic moment: 0.00 μB/atom



4.
! Gd3DyEr2Te2Ir | the Open Quantum Materials Database | PBE-GGA | optimized geometry; values from VASP
&SYSTEM
  ibrav = 0, nat = 9, ntyp = 5
/
ATOMIC_SPECIES
Gd 157.25 Gd.upf
Dy 162.50 Dy.upf
Er 167.26 Er.upf
Te 127.60 Te.upf
Ir 192.22 Ir.upf
ATOMIC_POSITIONS crystal
Gd 0.000 0.000 0.000
Gd 0.000 0.203 0.602
Gd 0.000 0.602 0.203
Dy 0.500 0.362 0.362
Er 0.500 0.602 0.841
Er 0.500 0.841 0.602
Te 0.500 0.269 0.935
Te 0.500 0.935 0.269
Ir 0.000 0.606 0.606
CELL_PARAMETERS angstrom
4.001 0.000 0.000
0.000 7.251 4.168
0.000 -7.251 4.168
! - Magnetic moment: 0.00 μB/atom



5.
! GaPd17 | the Open Quantum Materials Database | PBE-GGA | optimized geometry; values from VASP
&SYSTEM
  ibrav = 0, nat = 36, ntyp = 2
/
ATOMIC_SPECIES
Ga 69.72 Ga.upf
Pd 106.42 Pd.upf
ATOMIC_POSITIONS crystal
Ga 0.333 0.667 0.269
Ga 0.667 0.333 0.731
Pd 0.000 0.000 0.000
Pd 0.000 0.000 0.205
Pd 0.000 0.000 0.795
Pd 0.000 0.500 0.000
Pd 0.000 0.500 0.205
Pd 0.000 0.500 0.795
Pd 0.166 0.333 0.726
Pd 0.166 0.834 0.726
Pd 0.167 0.333 0.932
Pd 0.167 0.334 0.137
Pd 0.167 0.833 0.137
Pd 0.167 0.833 0.932
Pd 0.333 0.166 0.274
Pd 0.333 0.167 0.068
Pd 0.333 0.667 0.068
Pd 0.333 0.667 0.863
Pd 0.334 0.167 0.863
Pd 0.500 0.000 0.000
Pd 0.500 0.000 0.205
Pd 0.500 0.000 0.795
Pd 0.500 0.500 0.000
Pd 0.500 0.500 0.205
Pd 0.500 0.500 0.795
Pd 0.666 0.833 0.137
Pd 0.667 0.333 0.137
Pd 0.667 0.333 0.932
Pd 0.667 0.833 0.932
Pd 0.667 0.834 0.726
Pd 0.833 0.167 0.068
Pd 0.833 0.167 0.863
Pd 0.833 0.666 0.863
Pd 0.833 0.667 0.068
Pd 0.834 0.166 0.274
Pd 0.834 0.667 0.274
CELL_PARAMETERS angstrom
5.540 0.000 0.000
-2.770 4.797 0.000
0.000 0.000 33.679
! - Offset from the most stable computed form: 2.2 meV per atom



6.
! LiCdOs2 | the Open Quantum Materials Database | PBE-GGA | optimized geometry; values from VASP
&SYSTEM
  ibrav = 0, nat = 16, ntyp = 3
/
ATOMIC_SPECIES
Li 6.94 Li.upf
Cd 112.41 Cd.upf
Os 190.23 Os.upf
ATOMIC_POSITIONS crystal
Li 0.000 0.000 0.000
Li 0.000 0.500 0.500
Li 0.500 0.000 0.500
Li 0.500 0.500 0.000
Cd 0.250 0.250 0.250
Cd 0.250 0.750 0.750
Cd 0.750 0.250 0.750
Cd 0.750 0.750 0.250
Os 0.000 0.000 0.500
Os 0.000 0.500 0.000
Os 0.250 0.250 0.750
Os 0.250 0.750 0.250
Os 0.500 0.000 0.000
Os 0.500 0.500 0.500
Os 0.750 0.250 0.250
Os 0.750 0.750 0.750
CELL_PARAMETERS angstrom
6.180 0.000 0.000
0.000 6.180 0.000
0.000 0.000 6.180
! - Magnetic moment: 0.00 μB/atom



7.
! Dy2Ho2CF5 | the Open Quantum Materials Database | PBE-GGA | optimized geometry; values from VASP
&SYSTEM
  ibrav = 0, nat = 10, ntyp = 4
/
ATOMIC_SPECIES
Dy 162.50 Dy.upf
Ho 164.93 Ho.upf
C 12.01 C.upf
F 19.00 F.upf
ATOMIC_POSITIONS crystal
Dy 0.187 0.187 0.189
Dy 0.813 0.813 0.811
Ho 0.499 0.499 0.238
Ho 0.501 0.501 0.762
C 0.000 0.000 0.000
F 0.000 0.000 0.500
F 0.326 0.326 0.105
F 0.329 0.329 0.544
F 0.671 0.671 0.456
F 0.674 0.674 0.895
CELL_PARAMETERS angstrom
7.310 -1.683 0.000
7.310 1.683 0.000
-3.045 0.000 6.048
! - Magnetic moment: 0.00 μB/atom



8.
! Tb2DyNiPt2Pb3 | the Open Quantum Materials Database | PBE-GGA | optimized geometry; values from VASP
&SYSTEM
  ibrav = 0, nat = 9, ntyp = 5
/
ATOMIC_SPECIES
Tb 158.93 Tb.upf
Dy 162.50 Dy.upf
Ni 58.69 Ni.upf
Pt 195.08 Pt.upf
Pb 207.20 Pb.upf
ATOMIC_POSITIONS crystal
Tb 0.000 0.202 0.798
Tb 0.000 0.798 0.202
Dy 0.000 0.395 0.395
Ni 0.000 0.798 0.798
Pt 0.500 0.132 0.465
Pt 0.500 0.465 0.132
Pb 0.500 0.053 0.053
Pb 0.500 0.544 0.798
Pb 0.500 0.798 0.544
CELL_PARAMETERS angstrom
3.801 0.000 0.000
0.000 6.774 3.917
0.000 -6.774 3.917
! - Magnetic moment: 0.00 μB/atom



9.
! CoNiPbAu | the Open Quantum Materials Database | PBE-GGA | optimized geometry; values from VASP
&SYSTEM
  ibrav = 0, nat = 16, ntyp = 4
/
ATOMIC_SPECIES
Co 58.93 Co.upf
Ni 58.69 Ni.upf
Pb 207.20 Pb.upf
Au 196.97 Au.upf
ATOMIC_POSITIONS crystal
Co 0.000 0.000 0.000
Co 0.000 0.500 0.500
Co 0.500 0.000 0.500
Co 0.500 0.500 0.000
Ni 0.000 0.000 0.500
Ni 0.000 0.500 0.000
Ni 0.500 0.000 0.000
Ni 0.500 0.500 0.500
Pb 0.250 0.250 0.750
Pb 0.250 0.750 0.250
Pb 0.750 0.250 0.250
Pb 0.750 0.750 0.750
Au 0.250 0.250 0.250
Au 0.250 0.750 0.750
Au 0.750 0.250 0.750
Au 0.750 0.750 0.250
CELL_PARAMETERS angstrom
6.305 0.000 0.000
0.000 6.305 0.000
0.000 0.000 6.305
! - Magnetic moment: 0.23 μB/atom
! - Offset from the most stable computed form: 0.0 meV per atom



10.
! Nd4GeO8 | the Open Quantum Materials Database | PBE-GGA | optimized geometry; values from VASP
&SYSTEM
  ibrav = 0, nat = 52, ntyp = 3
/
ATOMIC_SPECIES
Nd 144.24 Nd.upf
Ge 72.64 Ge.upf
O 16.00 O.upf
ATOMIC_POSITIONS crystal
Nd 0.000 0.206 0.000
Nd 0.000 0.229 0.795
Nd 0.000 0.771 0.295
Nd 0.000 0.794 0.500
Nd 0.241 0.274 0.385
Nd 0.241 0.726 0.885
Nd 0.259 0.230 0.179
Nd 0.259 0.770 0.679
Nd 0.500 0.266 0.768
Nd 0.500 0.291 0.563
Nd 0.500 0.709 0.063
Nd 0.500 0.734 0.268
Nd 0.741 0.230 0.179
Nd 0.741 0.770 0.679
Nd 0.759 0.274 0.385
Nd 0.759 0.726 0.885
Ge 0.000 0.259 0.590
Ge 0.000 0.741 0.090
Ge 0.500 0.240 0.974
Ge 0.500 0.760 0.474
O 0.000 0.022 0.398
O 0.000 0.053 0.665
O 0.000 0.447 0.121
O 0.000 0.471 0.908
O 0.000 0.529 0.408
O 0.000 0.553 0.621
O 0.000 0.947 0.165
O 0.000 0.978 0.898
O 0.190 0.176 0.536
O 0.190 0.824 0.036
O 0.231 0.494 0.276
O 0.231 0.506 0.776
O 0.269 0.011 0.288
O 0.269 0.989 0.788
O 0.310 0.323 0.027
O 0.310 0.677 0.527
O 0.500 0.026 0.655
O 0.500 0.053 0.443
O 0.500 0.445 0.898
O 0.500 0.482 0.166
O 0.500 0.518 0.666
O 0.500 0.555 0.398
O 0.500 0.947 0.943
O 0.500 0.974 0.155
O 0.690 0.323 0.027
O 0.690 0.677 0.527
O 0.731 0.011 0.288
O 0.731 0.989 0.788
O 0.769 0.494 0.276
O 0.769 0.506 0.776
O 0.810 0.176 0.536
O 0.810 0.824 0.036
CELL_PARAMETERS angstrom
7.466 0.000 0.000
0.000 5.740 0.000
0.000 0.000 17.936
! - Magnetic moment: 0.00 μB/atom



11.
! ThReAs | the Open Quantum Materials Database | PBE-GGA | optimized geometry; values from VASP
&SYSTEM
  ibrav = 0, nat = 12, ntyp = 3
/
ATOMIC_SPECIES
Th 232.04 Th.upf
Re 186.21 Re.upf
As 74.92 As.upf
ATOMIC_POSITIONS crystal
Th 0.000 0.000 0.000
Th 0.000 0.500 0.500
Th 0.500 0.000 0.500
Th 0.500 0.500 0.000
Re 0.250 0.250 0.750
Re 0.250 0.750 0.250
Re 0.750 0.250 0.250
Re 0.750 0.750 0.750
As 0.000 0.000 0.500
As 0.000 0.500 0.000
As 0.500 0.000 0.000
As 0.500 0.500 0.500
CELL_PARAMETERS angstrom
6.525 0.000 0.000
0.000 6.525 0.000
0.000 0.000 6.525
! - Magnetic moment: 0.00 μB/atom



12.
! CuOs3Pb5 | the Open Quantum Materials Database | PBE-GGA | optimized geometry; values from VASP
&SYSTEM
  ibrav = 0, nat = 9, ntyp = 3
/
ATOMIC_SPECIES
Cu 63.55 Cu.upf
Os 190.23 Os.upf
Pb 207.20 Pb.upf
ATOMIC_POSITIONS crystal
Cu 0.000 0.000 0.000
Os 0.000 0.500 0.500
Os 0.500 0.000 0.500
Os 0.500 0.500 0.500
Pb 0.000 0.000 0.500
Pb 0.333 0.667 0.202
Pb 0.333 0.667 0.798
Pb 0.667 0.333 0.202
Pb 0.667 0.333 0.798
CELL_PARAMETERS angstrom
5.537 0.000 0.000
-2.769 4.795 0.000
0.000 0.000 8.442
! - Magnetic moment: 0.30 μB/atom



13.
! Hf4PAuC2 | the Open Quantum Materials Database | PBE-GGA | optimized geometry; values from VASP
&SYSTEM
  ibrav = 0, nat = 8, ntyp = 4
/
ATOMIC_SPECIES
Hf 178.49 Hf.upf
P 30.97 P.upf
Au 196.97 Au.upf
C 12.01 C.upf
ATOMIC_POSITIONS crystal
Hf 0.000 0.000 0.137
Hf 0.000 0.000 0.863
Hf 0.333 0.667 0.331
Hf 0.333 0.667 0.669
P 0.333 0.667 0.000
Au 0.000 0.000 0.500
C 0.667 0.333 0.234
C 0.667 0.333 0.766
CELL_PARAMETERS angstrom
3.356 0.000 0.000
-1.678 2.906 0.000
0.000 0.000 13.029
! - Magnetic moment: 0.00 μB/atom



14.
! BaErHg | the Open Quantum Materials Database | PBE-GGA | optimized geometry; values from VASP
&SYSTEM
  ibrav = 0, nat = 12, ntyp = 3
/
ATOMIC_SPECIES
Ba 137.33 Ba.upf
Er 167.26 Er.upf
Hg 200.59 Hg.upf
ATOMIC_POSITIONS crystal
Ba 0.000 0.000 0.000
Ba 0.000 0.500 0.500
Ba 0.500 0.000 0.500
Ba 0.500 0.500 0.000
Er 0.250 0.250 0.750
Er 0.250 0.750 0.250
Er 0.750 0.250 0.250
Er 0.750 0.750 0.750
Hg 0.250 0.250 0.250
Hg 0.250 0.750 0.750
Hg 0.750 0.250 0.750
Hg 0.750 0.750 0.250
CELL_PARAMETERS angstrom
7.678 0.000 0.000
0.000 7.678 0.000
0.000 0.000 7.678
! - Magnetic moment: 0.00 μB/atom
! - Offset from the most stable computed form: 278.5 meV per atom



15.
! TmHfSi2Ir4 | the Open Quantum Materials Database | PBE-GGA | optimized geometry; values from VASP
&SYSTEM
  ibrav = 0, nat = 16, ntyp = 4
/
ATOMIC_SPECIES
Tm 168.93 Tm.upf
Hf 178.49 Hf.upf
Si 28.09 Si.upf
Ir 192.22 Ir.upf
ATOMIC_POSITIONS crystal
Tm 0.000 0.000 0.000
Tm 0.000 0.500 0.500
Hf 0.500 0.000 0.112
Hf 0.500 0.500 0.612
Si 0.000 0.000 0.282
Si 0.000 0.500 0.782
Si 0.500 0.000 0.831
Si 0.500 0.500 0.331
Ir 0.207 0.000 0.695
Ir 0.207 0.500 0.195
Ir 0.301 0.000 0.417
Ir 0.301 0.500 0.917
Ir 0.699 0.000 0.417
Ir 0.699 0.500 0.917
Ir 0.793 0.000 0.695
Ir 0.793 0.500 0.195
CELL_PARAMETERS angstrom
6.987 0.000 0.000
0.000 3.724 0.000
0.000 0.000 9.848
! - Magnetic moment: 0.00 μB/atom



16.
! TlSi5Pt3 | the Open Quantum Materials Database | PBE-GGA | optimized geometry; values from VASP
&SYSTEM
  ibrav = 0, nat = 9, ntyp = 3
/
ATOMIC_SPECIES
Tl 204.38 Tl.upf
Si 28.09 Si.upf
Pt 195.08 Pt.upf
ATOMIC_POSITIONS crystal
Tl 0.000 0.000 0.000
Si 0.000 0.000 0.500
Si 0.333 0.667 0.188
Si 0.333 0.667 0.812
Si 0.667 0.333 0.188
Si 0.667 0.333 0.812
Pt 0.000 0.500 0.500
Pt 0.500 0.000 0.500
Pt 0.500 0.500 0.500
CELL_PARAMETERS angstrom
5.498 0.000 0.000
-2.749 4.761 0.000
0.000 0.000 6.043
! - Magnetic moment: 0.00 μB/atom



17.
! RbOsAu3S4 | the Open Quantum Materials Database | PBE-GGA | optimized geometry; values from VASP
&SYSTEM
  ibrav = 0, nat = 9, ntyp = 4
/
ATOMIC_SPECIES
Rb 85.47 Rb.upf
Os 190.23 Os.upf
Au 196.97 Au.upf
S 32.06 S.upf
ATOMIC_POSITIONS crystal
Rb 0.000 0.000 0.000
Os 0.500 0.500 0.500
Au 0.000 0.500 0.500
Au 0.500 0.000 0.500
Au 0.500 0.500 0.000
S 0.295 0.295 0.295
S 0.295 0.705 0.705
S 0.705 0.295 0.705
S 0.705 0.705 0.295
CELL_PARAMETERS angstrom
6.329 0.000 0.000
0.000 6.329 0.000
0.000 0.000 6.329
! - Magnetic moment: 0.00 μB/atom



18.
! LaHoU | the Open Quantum Materials Database | PBE-GGA | optimized geometry; values from VASP
&SYSTEM
  ibrav = 0, nat = 12, ntyp = 3
/
ATOMIC_SPECIES
La 138.91 La.upf
Ho 164.93 Ho.upf
U 238.03 U.upf
ATOMIC_POSITIONS crystal
La 0.000 0.000 0.000
La 0.000 0.500 0.500
La 0.500 0.000 0.500
La 0.500 0.500 0.000
Ho 0.250 0.250 0.750
Ho 0.250 0.750 0.250
Ho 0.750 0.250 0.250
Ho 0.750 0.750 0.750
U 0.250 0.250 0.250
U 0.250 0.750 0.750
U 0.750 0.250 0.750
U 0.750 0.750 0.250
CELL_PARAMETERS angstrom
7.268 0.000 0.000
0.000 7.268 0.000
0.000 0.000 7.268
! - Formation enthalpy at 0 K: 1.19 eV/atom
! - Magnetic moment: 1.40 μB/atom
! - Offset from the most stable computed form: 0.0 meV per atom



19.
Below is a relaxed BaCdAg2Sn crystal, with properties calculated at the PBE-GGA level. Values from VASP.

The structure in Quantum ESPRESSO input format:
```
&SYSTEM
  ibrav = 0, nat = 10, ntyp = 4
/
ATOMIC_SPECIES
Ba 137.33 Ba.upf
Cd 112.41 Cd.upf
Ag 107.87 Ag.upf
Sn 118.71 Sn.upf
ATOMIC_POSITIONS crystal
Ba 0.000 0.000 0.000
Ba 0.500 0.500 0.500
Cd 0.000 0.000 0.633
Cd 0.500 0.500 0.133
Ag 0.000 0.500 0.258
Ag 0.000 0.500 0.758
Ag 0.500 0.000 0.258
Ag 0.500 0.000 0.758
Sn 0.000 0.000 0.371
Sn 0.500 0.500 0.871
CELL_PARAMETERS angstrom
5.001 0.000 0.000
0.000 5.001 0.000
0.000 0.000 11.023
```



20.
! Dy2Ir | the Open Quantum Materials Database | PBE-GGA | optimized geometry; values from VASP
&SYSTEM
  ibrav = 0, nat = 6, ntyp = 2
/
ATOMIC_SPECIES
Dy 162.50 Dy.upf
Ir 192.22 Ir.upf
ATOMIC_POSITIONS crystal
Dy 0.000 0.000 0.000
Dy 0.000 0.000 0.500
Dy 0.000 0.500 0.000
Dy 0.500 0.000 0.000
Ir 0.375 0.375 0.375
Ir 0.625 0.625 0.625
CELL_PARAMETERS angstrom
0.000 4.077 4.077
4.077 0.000 4.077
4.077 4.077 0.000
! - Formation enthalpy at 0 K: 0.67 eV/atom
! - Magnetic moment: 0.00 μB/atom



| no. | calculated total energy (eV for the cell shown) |
| --- | --- |
| 1 | -58.95 |
| 2 | -47.27 |
| 3 | -81.11 |
| 4 | -50.74 |
| 5 | -181.97 |
| 6 | -95.20 |
| 7 | -63.52 |
| 8 | -49.46 |
| 9 | -74.26 |
| 10 | -411.50 |
| 11 | -97.42 |
| 12 | -49.42 |
| 13 | -74.22 |
| 14 | -21.05 |
| 15 | -135.71 |
| 16 | -47.34 |
| 17 | -38.14 |
| 18 | -68.96 |
| 19 | -28.16 |
| 20 | -32.11 |